# 1
PBE Rb3Zr2Te6Pd, relaxed; formation energy without anion corrections = -0.80 eV/atom; crystal system = monoclinic
1.0
3.756 -6.476 0.000
3.756 6.476 0.000
-2.520 0.000 8.376
Rb Zr Te Pd
3 2 6 1
Cartesian
0.000 0.000 0.000
3.756 2.177 0.000
3.756 -2.177 0.000
2.496 4.326 4.188
2.496 -4.326 4.188
1.271 2.121 2.654
0.010 0.000 5.749
1.271 -2.121 2.654
3.720 2.121 5.722
4.981 0.000 2.627
3.720 -2.121 5.722
2.496 0.000 4.188

=====

# 2
PBE DyGeC, relaxed; E_form = 24.9 kJ/mol of formula units; crystal system = orthorhombic
1.0
3.280 0.000 0.000
0.000 5.428 0.000
0.000 0.000 12.239
Dy Ge C
4 4 4
Cartesian
0.820 1.357 1.911
0.820 4.071 3.812
2.460 1.357 8.427
2.460 4.071 10.328
0.820 1.357 5.073
0.820 4.071 0.569
2.460 1.357 11.669
2.460 4.071 7.166
0.820 3.312 8.499
0.820 4.830 8.499
2.460 0.598 3.740
2.460 2.116 3.740